No. 1
DFT (PBE-GGA) results for a geometry-optimized Li2TeOs structure.

* formation energy without anion corrections: 0.19 eV/atom
* space-group type: Cmmm

Unit cell a=5.3772 b=8.7806 c=2.8209 alpha=90.00 beta=90.00 gamma=90.00
Sites, in units of the cell vectors:
Li1 0.2500 0.2500 0.0000
Li2 0.2500 0.7500 0.0000
Li3 0.7500 0.2500 0.0000
Li4 0.7500 0.7500 0.0000
Te1 0.0000 0.0000 0.5000
Te2 0.5000 0.5000 0.5000
Os1 0.0000 0.5000 0.5000
Os2 0.5000 0.0000 0.5000


No. 2
DFT (PBE-GGA) results for a geometry-optimized Li2TeOs structure.

* formation energy without anion corrections: 0.12 eV/atom
* space-group type: P4/mmm

Unit cell a=3.9070 b=3.9070 c=4.1279 alpha=90.00 beta=90.00 gamma=90.00
Sites, in units of the cell vectors:
Li1 0.0000 0.5000 0.0000
Li2 0.5000 0.0000 0.0000
Te1 0.0000 0.0000 0.5000
Os1 0.5000 0.5000 0.5000


No. 3
DFT (PBE-GGA) results for a geometry-optimized Li2TeOs structure.

* formation energy without anion corrections: 0.03 eV/atom
* space-group type: I-4m2

Unit cell a=4.0728 b=4.0728 c=7.3203 alpha=90.00 beta=90.00 gamma=90.00
Sites, in units of the cell vectors:
Li1 0.0000 0.0000 0.0000
Li2 0.0000 0.5000 0.2500
Li3 0.5000 0.0000 0.7500
Li4 0.5000 0.5000 0.5000
Te1 0.0000 0.5000 0.7500
Te2 0.5000 0.0000 0.2500
Os1 0.0000 0.0000 0.5000
Os2 0.5000 0.5000 0.0000


No. 4
DFT (PBE-GGA) results for a geometry-optimized LiThOs4 structure.

* space-group type: F-43m
* DFT formation energy: 75 meV/atom

Unit cell a=5.3355 b=5.3355 c=5.3355 alpha=60.00 beta=60.00 gamma=60.00
Sites, in units of the cell vectors:
Li1 0.0000 0.0000 0.0000
Th1 0.2500 0.2500 0.2500
Os1 0.1226 0.6258 0.6258
Os2 0.6258 0.1226 0.6258
Os3 0.6258 0.6258 0.1226
Os4 0.6258 0.6258 0.6258


No. 5
DFT (PBE-GGA) results for a geometry-optimized LiTh2Os structure.

* space-group type: P4/mmm
* DFT formation energy: -55 meV/atom

Unit cell a=4.9790 b=4.9790 c=3.7341 alpha=90.00 beta=90.00 gamma=90.00
Sites, in units of the cell vectors:
Li1 0.0000 0.0000 0.0000
Th1 0.0000 0.5000 0.5000
Th2 0.5000 0.0000 0.5000
Os1 0.5000 0.5000 0.0000


No. 6
DFT (PBE-GGA) results for a geometry-optimized LiTh2Os structure.

* space-group type: R-3m
* DFT formation energy: 82 meV/atom

Unit cell a=4.1282 b=4.1282 c=30.1303 alpha=90.00 beta=90.00 gamma=120.00
Sites, in units of the cell vectors:
Li1 0.0000 0.0000 0.0000
Li2 0.3333 0.6667 0.6667
Li3 0.6667 0.3333 0.3333
Th1 0.0000 0.0000 0.1175
Th2 0.0000 0.0000 0.8825
Th3 0.3333 0.6667 0.5491
Th4 0.3333 0.6667 0.7842
Th5 0.6667 0.3333 0.2158
Th6 0.6667 0.3333 0.4509
Os1 0.0000 0.0000 0.5000
Os2 0.3333 0.6667 0.1667
Os3 0.6667 0.3333 0.8333


No. 7
DFT (PBE-GGA) results for a geometry-optimized LiTmThOs structure.

* space-group type: F-43m
* DFT formation energy: -230 meV/atom

Unit cell a=7.0319 b=7.0319 c=7.0319 alpha=90.00 beta=90.00 gamma=90.00
Sites, in units of the cell vectors:
Li1 0.0000 0.0000 0.0000
Li2 0.0000 0.5000 0.5000
Li3 0.5000 0.0000 0.5000
Li4 0.5000 0.5000 0.0000
Tm1 0.2500 0.2500 0.2500
Tm2 0.2500 0.7500 0.7500
Tm3 0.7500 0.2500 0.7500
Tm4 0.7500 0.7500 0.2500
Th1 0.2500 0.2500 0.7500
Th2 0.2500 0.7500 0.2500
Th3 0.7500 0.2500 0.2500
Th4 0.7500 0.7500 0.7500
Os1 0.0000 0.0000 0.5000
Os2 0.0000 0.5000 0.0000
Os3 0.5000 0.0000 0.0000
Os4 0.5000 0.5000 0.5000


No. 8
DFT (PBE-GGA) results for a geometry-optimized LiYThOs structure.

* space-group type: F-43m
* DFT formation energy: -187 meV/atom

Unit cell a=7.0833 b=7.0833 c=7.0833 alpha=90.00 beta=90.00 gamma=90.00
Sites, in units of the cell vectors:
Li1 0.0000 0.0000 0.0000
Li2 0.0000 0.5000 0.5000
Li3 0.5000 0.0000 0.5000
Li4 0.5000 0.5000 0.0000
Y1 0.2500 0.2500 0.7500
Y2 0.2500 0.7500 0.2500
Y3 0.7500 0.2500 0.2500
Y4 0.7500 0.7500 0.7500
Th1 0.2500 0.2500 0.2500
Th2 0.2500 0.7500 0.7500
Th3 0.7500 0.2500 0.7500
Th4 0.7500 0.7500 0.2500
Os1 0.0000 0.0000 0.5000
Os2 0.0000 0.5000 0.0000
Os3 0.5000 0.0000 0.0000
Os4 0.5000 0.5000 0.5000


No. 9
DFT (PBE-GGA) results for a geometry-optimized LiTi2Os structure.

* space-group type: P4/mmm
* DFT formation energy: -239 meV/atom

Unit cell a=4.3716 b=4.3716 c=3.1029 alpha=90.00 beta=90.00 gamma=90.00
Sites, in units of the cell vectors:
Li1 0.0000 0.0000 0.0000
Ti1 0.0000 0.5000 0.5000
Ti2 0.5000 0.0000 0.5000
Os1 0.5000 0.5000 0.0000


No. 10
DFT (PBE-GGA) results for a geometry-optimized LiTiOs2 structure.

* space-group type: I-42d
* DFT formation energy: 561 meV/atom

Unit cell a=6.8418 b=6.8418 c=5.1363 alpha=90.00 beta=90.00 gamma=90.00
Sites, in units of the cell vectors:
Li1 0.0000 0.0000 0.0000
Li2 0.0000 0.5000 0.2500
Li3 0.5000 0.0000 0.7500
Li4 0.5000 0.5000 0.5000
Ti1 0.0000 0.0000 0.5000
Ti2 0.0000 0.5000 0.7500
Ti3 0.5000 0.0000 0.2500
Ti4 0.5000 0.5000 0.0000
Os1 0.2462 0.2500 0.1250
Os2 0.2500 0.7462 0.3750
Os3 0.2500 0.7538 0.8750
Os4 0.2538 0.2500 0.6250
Os5 0.7462 0.7500 0.6250
Os6 0.7500 0.2462 0.8750
Os7 0.7500 0.2538 0.3750
Os8 0.7538 0.7500 0.1250


No. 11
DFT (PBE-GGA) results for a geometry-optimized LiTi2Os structure.

* space-group type: I-42d
* DFT formation energy: 258 meV/atom

Unit cell a=6.9046 b=6.9046 c=5.3385 alpha=90.00 beta=90.00 gamma=90.00
Sites, in units of the cell vectors:
Li1 0.0000 0.0000 0.0000
Li2 0.0000 0.5000 0.2500
Li3 0.5000 0.0000 0.7500
Li4 0.5000 0.5000 0.5000
Ti1 0.2393 0.2500 0.6250
Ti2 0.2500 0.7393 0.8750
Ti3 0.2500 0.7607 0.3750
Ti4 0.2607 0.2500 0.1250
Ti5 0.7393 0.7500 0.1250
Ti6 0.7500 0.2393 0.3750
Ti7 0.7500 0.2607 0.8750
Ti8 0.7607 0.7500 0.6250
Os1 0.0000 0.0000 0.5000
Os2 0.0000 0.5000 0.7500
Os3 0.5000 0.0000 0.2500
Os4 0.5000 0.5000 0.0000


No. 12
DFT (PBE-GGA) results for a geometry-optimized LiTi2Os structure.

* space-group type: Immm
* DFT formation energy: 426 meV/atom

Unit cell a=2.6230 b=4.6973 c=10.0214 alpha=90.00 beta=90.00 gamma=90.00
Sites, in units of the cell vectors:
Li1 0.0000 0.0000 0.0000
Li2 0.5000 0.5000 0.5000
Ti1 0.0000 0.0000 0.2479
Ti2 0.0000 0.0000 0.7521
Ti3 0.5000 0.5000 0.2521
Ti4 0.5000 0.5000 0.7479
Os1 0.0000 0.0000 0.5000
Os2 0.5000 0.5000 0.0000


No. 13
DFT (PBE-GGA) results for a geometry-optimized LiTi2Os2 structure.

* space-group type: P4/mbm
* DFT formation energy: -149 meV/atom

Unit cell a=7.3504 b=7.3504 c=2.9798 alpha=90.00 beta=90.00 gamma=90.00
Sites, in units of the cell vectors:
Li1 0.0000 0.0000 0.0000
Li2 0.5000 0.5000 0.0000
Ti1 0.1500 0.3500 0.5000
Ti2 0.3500 0.8500 0.5000
Ti3 0.6500 0.1500 0.5000
Ti4 0.8500 0.6500 0.5000
Os1 0.1441 0.6441 0.0000
Os2 0.3559 0.1441 0.0000
Os3 0.6441 0.8559 0.0000
Os4 0.8559 0.3559 0.0000


No. 14
DFT (PBE-GGA) results for a geometry-optimized Li3TiOs structure.

* space-group type: Pm-3m
* DFT formation energy: 1243 meV/atom

Unit cell a=4.4552 b=4.4552 c=4.4552 alpha=90.00 beta=90.00 gamma=90.00
Sites, in units of the cell vectors:
Li1 0.0000 0.0000 0.5000
Li2 0.0000 0.5000 0.0000
Li3 0.5000 0.0000 0.0000
Ti1 0.5000 0.5000 0.5000
Os1 0.0000 0.0000 0.0000


No. 15
DFT (PBE-GGA) results for a geometry-optimized LiTi3Os structure.

* space-group type: Pm-3m
* DFT formation energy: 454 meV/atom

Unit cell a=4.8072 b=4.8072 c=4.8072 alpha=90.00 beta=90.00 gamma=90.00
Sites, in units of the cell vectors:
Li1 0.0000 0.0000 0.0000
Ti1 0.0000 0.5000 0.5000
Ti2 0.5000 0.0000 0.5000
Ti3 0.5000 0.5000 0.0000
Os1 0.5000 0.5000 0.5000


No. 16
DFT (PBE-GGA) results for a geometry-optimized LiTi3Os structure.

* space-group type: Pm-3m
* DFT formation energy: 898 meV/atom

Unit cell a=4.2370 b=4.2370 c=4.2370 alpha=90.00 beta=90.00 gamma=90.00
Sites, in units of the cell vectors:
Li1 0.0000 0.0000 0.0000
Ti1 0.0000 0.0000 0.5000
Ti2 0.0000 0.5000 0.0000
Ti3 0.5000 0.0000 0.0000
Os1 0.5000 0.5000 0.5000


No. 17
DFT (PBE-GGA) results for a geometry-optimized LiTmTiOs structure.

* space-group type: F-43m
* DFT formation energy: -207 meV/atom

Unit cell a=6.5204 b=6.5204 c=6.5204 alpha=90.00 beta=90.00 gamma=90.00
Sites, in units of the cell vectors:
Li1 0.0000 0.0000 0.0000
Li2 0.0000 0.5000 0.5000
Li3 0.5000 0.0000 0.5000
Li4 0.5000 0.5000 0.0000
Tm1 0.2500 0.2500 0.7500
Tm2 0.2500 0.7500 0.2500
Tm3 0.7500 0.2500 0.2500
Tm4 0.7500 0.7500 0.7500
Ti1 0.2500 0.2500 0.2500
Ti2 0.2500 0.7500 0.7500
Ti3 0.7500 0.2500 0.7500
Ti4 0.7500 0.7500 0.2500
Os1 0.0000 0.0000 0.5000
Os2 0.0000 0.5000 0.0000
Os3 0.5000 0.0000 0.0000
Os4 0.5000 0.5000 0.5000


No. 18
DFT (PBE-GGA) results for a geometry-optimized LiTlOs2 structure.

* space-group type: P4mm
* DFT formation energy: 376 meV/atom

Unit cell a=2.9948 b=2.9948 c=6.8730 alpha=90.00 beta=90.00 gamma=90.00
Sites, in units of the cell vectors:
Li1 0.0000 0.0000 0.0000
Tl1 0.5000 0.5000 0.7514
Os1 0.0000 0.0000 0.4424
Os2 0.5000 0.5000 0.2188


No. 19
DFT (PBE-GGA) results for a geometry-optimized LiTlOs2 structure.

* space-group type: P4/mmm
* DFT formation energy: 1069 meV/atom

Unit cell a=2.6820 b=2.6820 c=9.4739 alpha=90.00 beta=90.00 gamma=90.00
Sites, in units of the cell vectors:
Li1 0.0000 0.0000 0.0000
Tl1 0.0000 0.0000 0.5000
Os1 0.5000 0.5000 0.2227
Os2 0.5000 0.5000 0.7773


No. 20
DFT (PBE-GGA) results for a geometry-optimized Li2TlOs structure.

* space-group type: Cmm2
* DFT formation energy: 471 meV/atom

Unit cell a=3.1261 b=4.8396 c=9.4941 alpha=90.00 beta=90.00 gamma=90.00
Sites, in units of the cell vectors:
Li1 0.0000 0.0000 0.0000
Li2 0.0000 0.5000 0.2714
Li3 0.5000 0.0000 0.2714
Li4 0.5000 0.5000 0.0000
Tl1 0.0000 0.0000 0.5238
Tl2 0.5000 0.5000 0.5238
Os1 0.0000 0.5000 0.7796
Os2 0.5000 0.0000 0.7796


No. 21
DFT (PBE-GGA) results for a geometry-optimized LiTlOs2 structure.

* space-group type: Cmm2
* DFT formation energy: 692 meV/atom

Unit cell a=2.9396 b=4.8530 c=9.4922 alpha=90.00 beta=90.00 gamma=90.00
Sites, in units of the cell vectors:
Li1 0.0000 0.0000 0.0000
Li2 0.5000 0.5000 0.0000
Tl1 0.0000 0.5000 0.2656
Tl2 0.5000 0.0000 0.2656
Os1 0.0000 0.0000 0.5427
Os2 0.0000 0.5000 0.7656
Os3 0.5000 0.0000 0.7656
Os4 0.5000 0.5000 0.5427


No. 22
DFT (PBE-GGA) results for a geometry-optimized LiTlOs structure.

* space-group type: P3m1
* DFT formation energy: 569 meV/atom

Unit cell a=4.5476 b=4.5476 c=2.7801 alpha=90.00 beta=90.00 gamma=120.00
Sites, in units of the cell vectors:
Li1 0.0000 0.0000 0.0000
Tl1 0.3333 0.6667 0.8643
Os1 0.6667 0.3333 0.4111


No. 23
DFT (PBE-GGA) results for a geometry-optimized LiTlOs2 structure.

* space-group type: Pmmm
* DFT formation energy: 638 meV/atom

Unit cell a=2.9122 b=4.5801 c=4.7662 alpha=90.00 beta=90.00 gamma=90.00
Sites, in units of the cell vectors:
Li1 0.0000 0.0000 0.0000
Tl1 0.5000 0.5000 0.0000
Os1 0.0000 0.5000 0.5000
Os2 0.5000 0.0000 0.5000


No. 24
DFT (PBE-GGA) results for a geometry-optimized LiTlOs2 structure.

* space-group type: P4/mmm
* DFT formation energy: 708 meV/atom

Unit cell a=3.7593 b=3.7593 c=4.5190 alpha=90.00 beta=90.00 gamma=90.00
Sites, in units of the cell vectors:
Li1 0.0000 0.0000 0.0000
Tl1 0.5000 0.5000 0.0000
Os1 0.0000 0.5000 0.5000
Os2 0.5000 0.0000 0.5000


No. 25
DFT (PBE-GGA) results for a geometry-optimized Li2TlOs structure.

* space-group type: C2/m
* DFT formation energy: 335 meV/atom

Unit cell a=5.5795 b=8.3554 c=2.7670 alpha=90.00 beta=90.17 gamma=90.00
Sites, in units of the cell vectors:
Li1 0.2500 0.2500 0.0000
Li2 0.2500 0.7500 0.0000
Li3 0.7500 0.2500 0.0000
Li4 0.7500 0.7500 0.0000
Tl1 0.0000 0.0000 0.5000
Tl2 0.5000 0.5000 0.5000
Os1 0.0000 0.5000 0.5000
Os2 0.5000 0.0000 0.5000


No. 26
DFT (PBE-GGA) results for a geometry-optimized Li2TlOs structure.

* space-group type: I4/mmm
* DFT formation energy: 380 meV/atom

Unit cell a=3.9638 b=3.9638 c=8.1287 alpha=90.00 beta=90.00 gamma=90.00
Sites, in units of the cell vectors:
Li1 0.0000 0.5000 0.2500
Li2 0.0000 0.5000 0.7500
Li3 0.5000 0.0000 0.2500
Li4 0.5000 0.0000 0.7500
Tl1 0.0000 0.0000 0.0000
Tl2 0.5000 0.5000 0.5000
Os1 0.0000 0.0000 0.5000
Os2 0.5000 0.5000 0.0000


No. 27
DFT (PBE-GGA) results for a geometry-optimized LiTlOs2 structure.

* space-group type: Imm2
* DFT formation energy: 756 meV/atom

Unit cell a=2.9460 b=4.7162 c=9.5384 alpha=90.00 beta=90.00 gamma=90.00
Sites, in units of the cell vectors:
Li1 0.0000 0.0000 0.0000
Li2 0.5000 0.5000 0.5000
Tl1 0.0000 0.5000 0.2301
Tl2 0.5000 0.0000 0.7301
Os1 0.0000 0.0000 0.4721
Os2 0.0000 0.5000 0.7545
Os3 0.5000 0.0000 0.2545
Os4 0.5000 0.5000 0.9721


No. 28
DFT (PBE-GGA) results for a geometry-optimized Li2TlOs structure.

* space-group type: I-4m2
* DFT formation energy: 388 meV/atom

Unit cell a=3.9293 b=3.9293 c=8.1476 alpha=90.00 beta=90.00 gamma=90.00
Sites, in units of the cell vectors:
Li1 0.0000 0.0000 0.0000
Li2 0.0000 0.5000 0.2500
Li3 0.5000 0.0000 0.7500
Li4 0.5000 0.5000 0.5000
Tl1 0.0000 0.0000 0.5000
Tl2 0.5000 0.5000 0.0000
Os1 0.0000 0.5000 0.7500
Os2 0.5000 0.0000 0.2500


No. 29
DFT (PBE-GGA) results for a geometry-optimized Li2TlOs structure.

* space-group type: Immm
* DFT formation energy: 329 meV/atom

Unit cell a=3.1112 b=4.5853 c=9.2404 alpha=90.00 beta=90.00 gamma=90.00
Sites, in units of the cell vectors:
Li1 0.0000 0.0000 0.2381
Li2 0.0000 0.0000 0.7619
Li3 0.5000 0.5000 0.2619
Li4 0.5000 0.5000 0.7381
Tl1 0.0000 0.5000 0.0000
Tl2 0.5000 0.0000 0.5000
Os1 0.0000 0.5000 0.5000
Os2 0.5000 0.0000 0.0000


No. 30
DFT (PBE-GGA) results for a geometry-optimized Li2TlOs structure.

* space-group type: Pmm2
* DFT formation energy: 363 meV/atom

Unit cell a=2.7510 b=4.3020 c=5.6287 alpha=90.00 beta=90.00 gamma=90.00
Sites, in units of the cell vectors:
Li1 0.0000 0.0000 0.0000
Li2 0.5000 0.5000 0.2549
Tl1 0.5000 0.5000 0.7385
Os1 0.0000 0.0000 0.4729